CsW2Se | GGA-PBE | relaxed

Cell: 9.738 9.738 9.738 Å, 152.56 152.56 39.19°
Fractional coordinates of all 8 atoms:
1 Cs 0.000 0.000 0.000
2 Cs 0.750 0.250 0.500
3 W 0.243 0.125 0.618
4 W 0.375 0.757 0.882
5 W 0.507 0.625 0.382
6 W 0.875 0.493 0.118
7 Se 0.250 0.750 0.500
8 Se 0.500 0.500 0.000

## Properties
SG   I-42d
Formation energy without anion corrections   1.426 eV per atom
Theoretical density   9.8 g cm⁻³

---

Cs2WSe5 | GGA-PBE | relaxed

Cell: 9.168 9.168 9.168 Å, 143.81 128.72 64.37°
Fractional coordinates of all 8 atoms:
1 Cs 0.000 0.000 0.000
2 Cs 0.324 0.324 0.000
3 W 0.711 0.211 0.500
4 Se 0.436 0.428 0.543
5 Se 0.436 0.893 0.009
6 Se 0.863 0.363 0.500
7 Se 0.884 0.428 0.991
8 Se 0.884 0.893 0.457

## Properties
SG   Imm2
Formation energy without anion corrections   -0.627 eV per atom
Theoretical density   4.0 g cm⁻³

---

CsWSe2 | GGA-PBE | relaxed

Cell: 10.208 10.208 10.208 Å, 22.63 22.63 22.63°
Fractional coordinates of all 4 atoms:
1 Cs 0.000 0.000 0.000
2 W 0.500 0.500 0.500
3 Se 0.422 0.422 0.422
4 Se 0.578 0.578 0.578

## Properties
SG   R-3m
Formation energy without anion corrections   0.542 eV per atom
Theoretical density   5.7 g cm⁻³
Energy above the lowest structure with this stoichiometry   0.783 eV/atom

---

Q: Look up the formation energy without anion corrections of the first one.
A: 1.426 eV per atom

---

Q: Which of these has the lowest theoretical density?
A: Cs2WSe5

---

Q: Which value of theoretical density does entry 3 give?
A: 5.7 g cm⁻³

---

Q: What is the formula in the second record?
A: Cs2WSe5